Model i:
{
  "formula": "CoTcS2N",
  "functional": "PBE-GGA",
  "state": "relaxed",
  "lattice_angstrom": [[4.629, 0.000, 0.000], [0.000, 4.629, 0.000], [0.000, 0.000, 3.329]],
  "species": ["Co", "Tc", "S", "S", "N"],
  "frac_coords": [[0.000, 0.000, 0.000], [0.500, 0.500, 0.500], [0.000, 0.500, 0.000], [0.500, 0.000, 0.000], [0.000, 0.000, 0.500]],
  "mass_density_g_cm3": 5.47
}

---

Model ii:
{
  "formula": "CoTcS2N",
  "functional": "PBE-GGA",
  "state": "relaxed",
  "lattice_angstrom": [[4.785, 0.000, 0.000], [0.000, 4.785, 0.000], [0.000, 0.000, 3.679]],
  "species": ["Co", "Tc", "S", "S", "N"],
  "frac_coords": [[0.000, 0.000, 0.000], [0.500, 0.500, 0.500], [0.000, 0.500, 0.500], [0.500, 0.000, 0.500], [0.500, 0.500, 0.000]],
  "mass_density_g_cm3": 4.63
}

---

Name the least stable of them. model i.